No. 1
GGA-PBE Rb2NbTe4Au, optimized geometry; SG = Fddd, No. 70; size of the total moment = 0.00 μB per formula unit; uncorrected formation energy = -505 kJ/mol of formula units
1.0
0.000 7.547 13.311
3.121 0.000 13.311
3.121 7.547 0.000
Rb Nb Te Au
4 2 8 2
direct
0.059 0.059 0.691
0.309 0.309 0.941
0.691 0.691 0.059
0.941 0.941 0.309
0.375 0.375 0.375
0.625 0.625 0.625
0.022 0.348 0.434
0.304 0.566 0.652
0.348 0.022 0.696
0.434 0.696 0.022
0.566 0.304 0.978
0.652 0.978 0.304
0.696 0.434 0.348
0.978 0.652 0.566
0.125 0.125 0.125
0.875 0.875 0.875

=====

No. 2
GGA-PBE Nb2Re2Au, optimized geometry; SG = P4/mbm, No. 127; calculated formation energy = 1.19 eV/f.u.; size of the total moment = 0.00 μB per formula unit
1.0
7.489 0.000 0.000
0.000 7.489 0.000
0.000 0.000 3.135
Nb Re Au
4 4 2
direct
0.159 0.341 0.000
0.341 0.841 0.000
0.659 0.159 0.000
0.841 0.659 0.000
0.138 0.638 0.500
0.362 0.138 0.500
0.638 0.862 0.500
0.862 0.362 0.500
0.000 0.000 0.500
0.500 0.500 0.500

=====

No. 3
GGA-PBE NbReAu2, optimized geometry; SG = Fm-3m, No. 225; calculated formation energy = 1.99 eV/f.u.; size of the total moment = 0.00 μB per formula unit; ΔE to the lowest computed polymorph = 0 meV per atom
1.0
0.000 3.252 3.252
3.252 0.000 3.252
3.252 3.252 0.000
Nb Re Au
1 1 2
direct
0.000 0.000 0.000
0.500 0.500 0.500
0.250 0.250 0.250
0.750 0.750 0.750